Entry from Alexandria: a geometry-optimized NiP2AuO structure (PBE with a Hubbard U). Values from VASP.

Output
Energy ... -15.9 eV for the cell shown
SG ... P4/mmm, No. 123

Geometry as Quantum ESPRESSO input:
```
&SYSTEM
  ibrav = 0, nat = 5, ntyp = 4
/
ATOMIC_SPECIES
Ni 58.69 Ni.upf
P 30.97 P.upf
Au 196.97 Au.upf
O 16.00 O.upf
ATOMIC_POSITIONS angstrom
Ni 0.000 0.000 0.000
P 0.000 2.446 1.955
P 2.446 0.000 1.955
Au 2.446 2.446 1.955
O 2.446 2.446 0.000
CELL_PARAMETERS angstrom
4.893 0.000 0.000
0.000 4.893 0.000
0.000 0.000 3.910
```